[1]
Sc2Sn2Pd, optimized geometry, DFT PBE-GGA; DFT formation energy = -0.1260 eV/atom; space group = I4/mmm, No. 139; polymorph energy (0 for the lowest one) = 0.525 eV per atom
1.0
-0.859 -0.156 -3.844
1.750 -3.524 -0.248
-6.314 -5.312 -0.394
Sc Sn Pd
2 2 1
Direct
0.405 0.405 0.191
0.595 0.595 0.809
0.750 0.250 0.500
0.250 0.750 0.500
0.000 0.000 0.000

[2]
Sc2SnPd5, optimized geometry, DFT PBE-GGA; DFT formation energy = -0.8181 eV/atom; space group = Pbam, No. 55
1.0
4.242 0.000 0.000
0.000 5.689 0.000
0.000 0.000 11.324
Sc Sn Pd
4 2 10
Direct
0.500 0.317 0.359
0.500 0.683 0.641
0.500 0.183 0.859
0.500 0.817 0.141
0.000 0.000 0.500
0.000 0.500 0.000
0.500 0.302 0.115
0.500 0.698 0.885
0.500 0.802 0.385
0.500 0.198 0.615
0.000 0.932 0.750
0.000 0.068 0.250
0.000 0.432 0.750
0.000 0.568 0.250
0.000 0.500 0.500
0.000 0.000 0.000

[3]
Sc3SnPd12, optimized geometry, DFT PBE-GGA; DFT formation energy = -0.7598 eV/atom; space group = P4/mmm, No. 123
1.0
-2.544 -3.075 -0.474
3.050 -2.585 0.406
-2.460 -0.409 15.857
Sc Sn Pd
3 1 12
Direct
0.000 0.000 0.252
0.000 0.000 0.500
0.000 0.000 0.748
0.000 0.000 0.000
0.500 0.500 0.000
0.500 0.500 0.250
0.500 0.500 0.500
0.500 0.500 0.750
0.500 0.000 0.126
0.500 0.000 0.376
0.500 0.000 0.624
0.500 0.000 0.874
0.000 0.500 0.126
0.000 0.500 0.376
0.000 0.500 0.624
0.000 0.500 0.874

[4]
ScSnPd5, optimized geometry, DFT PBE-GGA; DFT formation energy = -0.6928 eV/atom; space group = P4/mmm, No. 123; polymorph energy (0 for the lowest one) = 0.000 eV per atom
1.0
-2.032 -0.876 -3.383
0.068 -3.923 0.974
-6.512 0.806 3.701
Sc Sn Pd
1 1 5
Direct
0.000 0.000 0.500
0.500 0.500 0.000
0.000 0.500 0.764
0.000 0.500 0.236
0.500 0.000 0.764
0.500 0.000 0.236
0.500 0.500 0.500

[5]
Sc6Sn2Pd, optimized geometry, DFT PBE-GGA; DFT formation energy = -0.5735 eV/atom; space group = P-62m, No. 189
1.0
3.636 0.000 0.000
0.000 8.044 0.000
0.000 -4.022 6.968
Sc Sn Pd
6 2 1
Direct
0.500 0.608 0.000
0.500 0.392 0.392
0.500 0.000 0.608
0.000 0.252 0.000
0.000 0.748 0.748
0.000 0.000 0.252
0.000 0.333 0.667
0.000 0.667 0.333
0.500 0.000 0.000

[6]
Sc2SnPd6, optimized geometry, DFT PBE-GGA; DFT formation energy = -0.5979 eV/atom; space group = C2/m, No. 12
1.0
3.100 0.000 -0.446
0.000 7.260 0.000
-2.067 -3.630 7.477
Sc Sn Pd
2 1 6
Direct
0.883 0.690 0.380
0.117 0.310 0.620
0.000 0.000 0.000
0.324 0.357 0.321
0.676 0.036 0.679
0.676 0.643 0.679
0.500 0.312 0.000
0.324 0.964 0.321
0.500 0.688 0.000